Entry 1:
KIrC2 | PBE-GGA | relaxed

abc: 5.789 5.789 5.789
angles: 90.00 90.00 90.00
Fractional coordinates of all 16 atoms:
1 K 0.000 0.000 0.000
2 K 0.000 0.500 0.500
3 K 0.500 0.000 0.500
4 K 0.500 0.500 0.000
5 Ir 0.000 0.000 0.500
6 Ir 0.000 0.500 0.000
7 Ir 0.500 0.000 0.000
8 Ir 0.500 0.500 0.500
9 C 0.250 0.250 0.250
10 C 0.250 0.250 0.750
11 C 0.250 0.750 0.250
12 C 0.250 0.750 0.750
13 C 0.750 0.250 0.250
14 C 0.750 0.250 0.750
15 C 0.750 0.750 0.250
16 C 0.750 0.750 0.750

Total moment, μB per atom: 0.00
Calculated formation energy, eV per atom: 2.386
Space-group type: No. 225
Crystal system: cubic

Entry 2:
K3IrC | PBE-GGA | relaxed

abc: 5.584 5.584 5.584
angles: 90.00 90.00 90.00
Fractional coordinates of all 5 atoms:
1 K 0.000 0.000 0.500
2 K 0.000 0.500 0.000
3 K 0.500 0.000 0.000
4 Ir 0.500 0.500 0.500
5 C 0.000 0.000 0.000

Total moment, μB per atom: 0.80
Calculated formation energy, eV per atom: 1.571
Space-group type: No. 221
Crystal system: cubic

Entry 3:
KIrC2 | PBE-GGA | relaxed

abc: 5.820 5.820 9.666
angles: 90.00 90.00 90.00
Fractional coordinates of all 16 atoms:
1 K 0.000 0.250 0.375
2 K 0.000 0.750 0.625
3 K 0.500 0.250 0.125
4 K 0.500 0.750 0.875
5 Ir 0.000 0.250 0.875
6 Ir 0.000 0.750 0.125
7 Ir 0.500 0.250 0.625
8 Ir 0.500 0.750 0.375
9 C 0.000 0.000 0.000
10 C 0.000 0.500 0.000
11 C 0.250 0.250 0.750
12 C 0.250 0.750 0.250
13 C 0.500 0.000 0.500
14 C 0.500 0.500 0.500
15 C 0.750 0.250 0.750
16 C 0.750 0.750 0.250

Total moment, μB per atom: 0.00
Calculated formation energy, eV per atom: 0.718
Space-group type: No. 141
Crystal system: tetragonal

| no. | polymorph energy (0 for the lowest one) (meV/atom) |
| --- | --- |
| 1 | 1668 |
| 2 | 0 |
| 3 | 0 |